No. 1
## Sm6Y2Ho3Th (PBE)

Data for an optimized crystal structure of Sm6Y2Ho3Th.

Cell: 6.2178 6.2178 11.9007 Å, 95.00 95.00 119.94°
Positions (direct):
Sm1 0.9158 0.5862 0.7491
Ho1 0.8330 0.1670 0.5000
Y1 0.3332 0.6668 0.0000
Ho2 0.1670 0.8330 0.5000
Sm2 0.5862 0.9158 0.7491
Y2 0.6668 0.3332 0.0000
Th1 0.0000 0.0000 0.0000
Sm3 0.4138 0.0842 0.2509
Sm4 0.0842 0.4138 0.2509
Sm5 0.2453 0.2453 0.7495
Sm6 0.7547 0.7547 0.2505
Ho3 0.5000 0.5000 0.5000

***

No. 2
## Sm2Y6Ho3Th (PBE)

Data for an optimized crystal structure of Sm2Y6Ho3Th.

Cell: 6.1926 6.1926 11.8156 Å, 95.01 95.01 119.95°
Positions (direct):
Y1 0.2454 0.2454 0.7491
Sm1 0.3334 0.6666 0.0000
Th1 0.0000 0.0000 0.0000
Y2 0.7546 0.7546 0.2509
Y3 0.9156 0.5856 0.7492
Sm2 0.6666 0.3334 0.0000
Ho1 0.8329 0.1671 0.5000
Y4 0.4144 0.0844 0.2508
Y5 0.0844 0.4144 0.2508
Ho2 0.5000 0.5000 0.5000
Y6 0.5856 0.9156 0.7492
Ho3 0.1671 0.8329 0.5000

***

No. 3
## Sm2Y6HoTh (PBE)

Data for an optimized crystal structure of Sm2Y6HoTh.

Cell: 9.7730 8.7464 8.7464 Å, 116.99 94.92 94.92°
Positions (direct):
Sm1 0.0482 0.2899 0.1946
Y1 0.8825 0.2986 0.5076
Y2 0.4433 0.2539 0.8833
Ho1 0.2500 0.4054 0.5946
Y3 0.0567 0.1167 0.7461
Sm2 0.5482 0.1946 0.2899
Y4 0.6840 0.0179 0.5755
Th1 0.7500 0.0208 0.9792
Ho2 0.7500 0.5946 0.4054
Y5 0.1840 0.5755 0.0179
Y6 0.3825 0.5076 0.2986
Y7 0.5567 0.7461 0.1167
Th2 0.2500 0.9792 0.0208
Sm3 0.4518 0.8054 0.7101
Y8 0.9433 0.8833 0.2539
Y9 0.1175 0.7014 0.4924
Y10 0.3160 0.9821 0.4245
Y11 0.8160 0.4245 0.9821
Y12 0.6175 0.4924 0.7014
Sm4 0.9518 0.7101 0.8054

***

No. 4
## Sm2Y4Ho2Th (PBE)

Data for an optimized crystal structure of Sm2Y4Ho2Th.

Cell: 3.6091 9.5391 9.5668 Å, 115.25 90.00 100.90°
Positions (direct):
Ho1 0.8523 0.7046 0.3356
Y1 0.8150 0.6300 0.6665
Sm1 0.6643 0.3287 0.0009
Y2 0.1850 0.3700 0.3335
Th1 0.0000 0.0000 0.0000
Y3 0.5184 0.0367 0.3305
Sm2 0.3357 0.6713 0.9991
Ho2 0.1477 0.2954 0.6644
Y4 0.4816 0.9633 0.6695

***

No. 5
## Sm6Y2HoTh (PBE)

Data for an optimized crystal structure of Sm6Y2HoTh.

Cell: 9.4582 8.8781 8.8781 Å, 115.40 92.83 92.83°
Positions (direct):
Sm1 0.6895 0.0076 0.5713
Sm2 0.1895 0.5713 0.0076
Y1 0.5551 0.2042 0.2979
Sm3 0.9385 0.8876 0.2337
Sm4 0.1138 0.7064 0.4768
Sm5 0.4385 0.2337 0.8876
Ho1 0.2500 0.4103 0.5897
Th1 0.2500 0.9646 0.0354
Sm6 0.0615 0.1124 0.7663
Sm7 0.6138 0.4768 0.7064
Sm8 0.5615 0.7663 0.1124
Y2 0.0551 0.2979 0.2042
Ho2 0.7500 0.5897 0.4103
Sm9 0.8862 0.2936 0.5232
Y3 0.4449 0.7958 0.7021
Sm10 0.3862 0.5232 0.2936
Th2 0.7500 0.0354 0.9646
Sm11 0.8105 0.4287 0.9924
Y4 0.9449 0.7021 0.7958
Sm12 0.3105 0.9924 0.4287

***

No. 6
## Sm5YHo2Th (PBE)

Data for an optimized crystal structure of Sm5YHo2Th.

Cell: 5.6406 10.5908 10.5308 Å, 90.00 90.00 105.44°
Positions (direct):
Sm1 0.0143 0.0286 0.0194
Sm2 0.2942 0.5884 0.7051
Sm3 0.9857 0.9714 0.5194
Y1 0.4062 0.8124 0.4558
Th1 0.8006 0.6012 0.5123
Ho1 0.8852 0.7703 0.8127
Ho2 0.1148 0.2297 0.3127
Sm4 0.4800 0.9601 0.7438
Y2 0.5938 0.1876 0.9558
Sm5 0.7058 0.4116 0.2051
Sm6 0.3872 0.7744 0.0262
Sm7 0.6128 0.2256 0.5262
Ho3 0.1127 0.2254 0.7363
Sm8 0.5200 0.0399 0.2438
Sm9 0.7243 0.4485 0.8124
Sm10 0.2757 0.5515 0.3124
Th2 0.1994 0.3988 0.0123
Ho4 0.8873 0.7746 0.2363

***

In eV/atom, the total DFT energy (no corrections) values for the records above are, in order, -5.17; -5.75; -5.87; -5.76; -5.17; -5.02.
In μB/f.u., the total magnetic moment values for the records above are, in order, 0.00; 0.00; 0.00; 0.00; 0.00; 0.00.